## PaVP (PBE)

Data for crystalline PaVP at its relaxed geometry.

Unit cell a=4.9314 b=4.9314 c=4.9314 alpha=135.42 beta=135.42 gamma=64.88
Element x y z (fractional)
Pa 0.0000 0.0000 0.0000
V 0.3977 0.3977 0.0000
P 0.6747 0.6747 0.0000

Properties
**DFT formation energy**: 0.013 eV per formula unit
**DOS at the Fermi energy**: 1.988 states/eV/atom
**Total DFT energy (no corrections)**: -8.004 eV per atom
**SG**: I4mm (107)

## TlIrRh2 (PBE)

Data for crystalline TlIrRh2 at its relaxed geometry.

Unit cell a=2.8729 b=3.8232 c=5.9231 alpha=90.00 beta=90.00 gamma=90.00
Element x y z (fractional)
Tl 0.0000 0.0000 0.0000
Ir 0.0000 0.0000 0.5000
Rh 0.5000 0.5000 0.2761
Rh 0.5000 0.5000 0.7239

Properties
**DFT formation energy**: 0.902 eV per formula unit
**DOS at the Fermi energy**: 1.310 states/eV/atom
**Total DFT energy (no corrections)**: -6.257 eV per atom
**ΔE to the lowest computed polymorph**: 26 meV per atom
**SG**: Pmmm (47)

## YTh2Ag6 (PBE)

Data for crystalline YTh2Ag6 at its relaxed geometry.

Unit cell a=8.4001 b=8.4001 c=3.4010 alpha=90.00 beta=90.00 gamma=120.00
Element x y z (fractional)
Y 0.0000 0.0000 0.0000
Th 0.3333 0.6667 0.0000
Th 0.6667 0.3333 0.0000
Ag 0.0000 0.3308 0.5000
Ag 0.0000 0.6692 0.5000
Ag 0.3308 0.0000 0.5000
Ag 0.3308 0.3308 0.5000
Ag 0.6692 0.0000 0.5000
Ag 0.6692 0.6692 0.5000

Properties
**DFT formation energy**: -1.605 eV per formula unit
**DOS at the Fermi energy**: 1.011 states/eV/atom
**Total DFT energy (no corrections)**: -4.446 eV per atom
**SG**: P6/mmm (191)

## Nd4AlZn3 (PBE)

Data for crystalline Nd4AlZn3 at its relaxed geometry.

Unit cell a=9.0691 b=9.0691 c=9.0691 alpha=33.46 beta=33.46 gamma=33.46
Element x y z (fractional)
Nd 0.1237 0.1237 0.1237
Nd 0.3738 0.3738 0.3738
Nd 0.6262 0.6262 0.6262
Nd 0.8763 0.8763 0.8763
Al 0.5000 0.5000 0.5000
Zn 0.0000 0.0000 0.0000
Zn 0.2485 0.2485 0.2485
Zn 0.7515 0.7515 0.7515

Properties
**DFT formation energy**: -2.527 eV per formula unit
**DOS at the Fermi energy**: 1.089 states/eV/atom
**Total DFT energy (no corrections)**: -3.645 eV per atom
**ΔE to the lowest computed polymorph**: 0 meV per atom
**SG**: R-3m (166)

## Ca2TmIn (PBE)

Data for crystalline Ca2TmIn at its relaxed geometry.

Unit cell a=4.8303 b=4.8303 c=5.2036 alpha=90.00 beta=90.00 gamma=90.00
Element x y z (fractional)
Ca 0.0000 0.5000 0.0000
Ca 0.5000 0.0000 0.0000
Tm 0.0000 0.0000 0.5000
In 0.5000 0.5000 0.5000

Properties
**DFT formation energy**: -0.801 eV per formula unit
**DOS at the Fermi energy**: 0.312 states/eV/atom
**Total DFT energy (no corrections)**: -3.003 eV per atom
**ΔE to the lowest computed polymorph**: 0 meV per atom
**SG**: P4/mmm (123)

## LiSc2NbF (PBE)

Data for crystalline LiSc2NbF at its relaxed geometry.

Unit cell a=5.0725 b=5.0725 c=4.8156 alpha=90.00 beta=90.00 gamma=90.00
Element x y z (fractional)
Li 0.0000 0.0000 0.0000
Sc 0.0000 0.5000 0.5000
Sc 0.5000 0.0000 0.5000
Nb 0.0000 0.0000 0.5000
F 0.5000 0.5000 0.0000

Properties
**DOS at the Fermi energy**: 0.734 states/eV/atom
**Total DFT energy (no corrections)**: -4.744 eV per atom
**SG**: P4/mmm (123)

## YTm8Th4 (PBE)

Data for crystalline YTm8Th4 at its relaxed geometry.

Unit cell a=9.7310 b=9.7310 c=9.7310 alpha=44.27 beta=44.27 gamma=44.27
Element x y z (fractional)
Y 0.0000 0.0000 0.0000
Tm 0.2514 0.2514 0.6882
Tm 0.2514 0.6882 0.2514
Tm 0.2801 0.2801 0.2801
Tm 0.3118 0.7486 0.7486
Tm 0.6882 0.2514 0.2514
Tm 0.7199 0.7199 0.7199
Tm 0.7486 0.3118 0.7486
Tm 0.7486 0.7486 0.3118
Th 0.0000 0.0000 0.5000
Th 0.0000 0.5000 0.0000
Th 0.5000 0.0000 0.0000
Th 0.5000 0.5000 0.5000

Properties
**DFT formation energy**: 3.020 eV per formula unit
**DOS at the Fermi energy**: 1.115 states/eV/atom
**Total DFT energy (no corrections)**: -5.300 eV per atom
**SG**: R-3m (166)

## RbLaIF2 (PBE)

Data for crystalline RbLaIF2 at its relaxed geometry.

Unit cell a=4.8074 b=4.8074 c=7.7492 alpha=90.00 beta=90.00 gamma=90.00
Element x y z (fractional)
Rb 0.0000 0.0000 0.0000
La 0.5000 0.5000 0.5000
I 0.5000 0.5000 0.0000
F 0.0000 0.5000 0.5000
F 0.5000 0.0000 0.5000

Properties
**DOS at the Fermi energy**: 0.795 states/eV/atom
**Total DFT energy (no corrections)**: -4.714 eV per atom
**SG**: P4/mmm (123)

## GaSiB3 (PBE)

Data for crystalline GaSiB3 at its relaxed geometry.

Unit cell a=4.0298 b=4.0298 c=4.0298 alpha=90.00 beta=90.00 gamma=90.00
Element x y z (fractional)
Ga 0.0000 0.0000 0.0000
Si 0.5000 0.5000 0.5000
B 0.0000 0.5000 0.5000
B 0.5000 0.0000 0.5000
B 0.5000 0.5000 0.0000

Properties
**DOS at the Fermi energy**: 0.438 states/eV/atom
**Total DFT energy (no corrections)**: -4.217 eV per atom
**ΔE to the lowest computed polymorph**: 0 meV per atom
**SG**: Pm-3m (221)

## DyY5Er3 (PBE)

Data for crystalline DyY5Er3 at its relaxed geometry.

Unit cell a=9.6892 b=9.6892 c=9.6892 alpha=125.57 beta=125.57 gamma=80.59
Element x y z (fractional)
Dy 0.2500 0.7500 0.5000
Dy 0.7500 0.2500 0.5000
Y 0.0000 0.0000 0.0000
Y 0.0706 0.5706 0.9078
Y 0.1629 0.0706 0.5000
Y 0.3371 0.8371 0.9078
Y 0.4294 0.3371 0.5000
Y 0.5000 0.5000 0.0000
Y 0.5706 0.6629 0.5000
Y 0.6629 0.1629 0.0922
Y 0.8371 0.9294 0.5000
Y 0.9294 0.4294 0.0922
Er 0.1132 0.3868 0.5000
Er 0.2500 0.2500 0.0000
Er 0.3868 0.8868 0.2736
Er 0.6132 0.1132 0.7264
Er 0.7500 0.7500 0.0000
Er 0.8868 0.6132 0.5000

Properties
**DFT formation energy**: 2.677 eV per formula unit
**DOS at the Fermi energy**: 1.372 states/eV/atom
**Total DFT energy (no corrections)**: -5.326 eV per atom
**ΔE to the lowest computed polymorph**: 181 meV per atom
**SG**: I4/mcm (140)

## SrTaAg (PBE)

Data for crystalline SrTaAg at its relaxed geometry.

Unit cell a=3.5222 b=4.5290 c=9.6521 alpha=90.00 beta=90.00 gamma=90.00
Element x y z (fractional)
Sr 0.2500 0.2500 0.1521
Sr 0.7500 0.7500 0.8479
Ta 0.2500 0.7500 0.4920
Ta 0.7500 0.2500 0.5080
Ag 0.2500 0.2500 0.7337
Ag 0.7500 0.7500 0.2663

Properties
**DFT formation energy**: 1.013 eV per formula unit
**DOS at the Fermi energy**: 0.843 states/eV/atom
**Total DFT energy (no corrections)**: -5.124 eV per atom
**ΔE to the lowest computed polymorph**: 107 meV per atom
**SG**: Pmmn (59)

## BaTaSiS6 (PBE)

Data for crystalline BaTaSiS6 at its relaxed geometry.

Unit cell a=6.2051 b=6.2051 c=7.0111 alpha=90.00 beta=90.00 gamma=120.00
Element x y z (fractional)
Ba 0.0000 0.0000 0.0000
Ta 0.3333 0.6667 0.5000
Si 0.6667 0.3333 0.5000
S 0.3900 0.0154 0.6967
S 0.3900 0.3746 0.3033
S 0.6254 0.0154 0.3033
S 0.6254 0.6100 0.6967
S 0.9846 0.3746 0.6967
S 0.9846 0.6100 0.3033

Properties
**DOS at the Fermi energy**: 0.974 states/eV/atom
**Total DFT energy (no corrections)**: -5.763 eV per atom
**SG**: P312 (149)